VASP calculation (PBE) on a relaxed Pd2I4Cl crystal.

## Properties
The raw formation energy comes out at -148 meV/atom.

Cell and atoms, written as CIF:
```
data_Pd2I4Cl
_symmetry_space_group_name_H-M 'P 1'
_symmetry_Int_Tables_number 1
_cell_length_a 7.941
_cell_length_b 7.956
_cell_length_c 8.733
_cell_angle_alpha 100.91
_cell_angle_beta 116.85
_cell_angle_gamma 90.18
loop_
_symmetry_equiv_pos_as_xyz
'x,y,z'
loop_
_atom_site_label
_atom_site_fract_x
_atom_site_fract_y
_atom_site_fract_z
Pd1 0.000 0.000 0.000
Pd2 0.003 0.502 0.005
Pd3 0.493 0.003 0.487
Pd4 0.994 0.004 0.487
I1 0.179 0.162 0.356
I2 0.207 0.254 0.966
I3 0.244 0.756 0.049
I4 0.293 0.825 0.588
I5 0.691 0.179 0.383
I6 0.761 0.253 0.971
I7 0.807 0.755 0.053
I8 0.812 0.854 0.627
Cl1 0.336 0.406 0.663
Cl2 0.595 0.566 0.187
```

***

VASP calculation (PBE) on a relaxed RbPdI2Cl crystal.

## Properties
The raw formation energy comes out at -266 meV/atom. The excess energy over the best structure of this formula in the dataset is 0.5249 eV/atom.

Cell and atoms, written as CIF:
```
data_RbPdI2Cl
_symmetry_space_group_name_H-M 'P 4/m m m'
_symmetry_Int_Tables_number 123
_symmetry_space_group_name_Hall '-P 4 2'
_cell_length_a 6.469
_cell_length_b 6.469
_cell_length_c 4.588
_cell_angle_alpha 90.00
_cell_angle_beta 90.00
_cell_angle_gamma 90.00
loop_
_atom_site_label
_atom_site_fract_x
_atom_site_fract_y
_atom_site_fract_z
Rb1 0.000 0.000 0.000
Pd1 0.500 0.500 0.000
I1 0.000 0.500 0.500
Cl1 0.500 0.500 0.500
```

***

VASP calculation (PBE) on a relaxed RbPdI2Cl crystal.

## Properties
The raw formation energy comes out at -790 meV/atom. The excess energy over the best structure of this formula in the dataset is 0.0000 eV/atom.

Cell and atoms, written as CIF:
```
data_RbPdI2Cl
_symmetry_space_group_name_H-M 'P 4/m m m'
_symmetry_Int_Tables_number 123
_symmetry_space_group_name_Hall '-P 4 2'
_cell_length_a 5.648
_cell_length_b 5.648
_cell_length_c 5.060
_cell_angle_alpha 90.00
_cell_angle_beta 90.00
_cell_angle_gamma 90.00
loop_
_atom_site_label
_atom_site_fract_x
_atom_site_fract_y
_atom_site_fract_z
Rb1 0.000 0.000 0.000
Pd1 0.500 0.500 0.500
I1 0.000 0.500 0.500
Cl1 0.500 0.500 0.000
```

***

VASP calculation (PBE) on a relaxed Rb2PdI6Cl crystal.

## Properties
The raw formation energy comes out at -667 meV/atom.

Cell and atoms, written as CIF:
```
data_Rb2PdI6Cl
_symmetry_space_group_name_H-M 'I 4/m m m'
_symmetry_Int_Tables_number 139
_symmetry_space_group_name_Hall '-I 4 2'
_cell_length_a 8.617
_cell_length_b 8.617
_cell_length_c 11.143
_cell_angle_alpha 90.00
_cell_angle_beta 90.00
_cell_angle_gamma 90.00
loop_
_atom_site_label
_atom_site_fract_x
_atom_site_fract_y
_atom_site_fract_z
Rb1 0.000 0.500 0.250
Pd1 0.000 0.000 0.000
I1 0.000 0.000 0.253
I2 0.221 0.221 0.000
Cl1 0.000 0.000 0.500
```

***

VASP calculation (PBE) on a relaxed RbPd2ICl crystal.

## Properties
The raw formation energy comes out at -203 meV/atom.

Cell and atoms, written as CIF:
```
data_RbPd2ICl
_symmetry_space_group_name_H-M 'P 4/m m m'
_symmetry_Int_Tables_number 123
_symmetry_space_group_name_Hall '-P 4 2'
_cell_length_a 4.788
_cell_length_b 4.788
_cell_length_c 6.459
_cell_angle_alpha 90.00
_cell_angle_beta 90.00
_cell_angle_gamma 90.00
loop_
_atom_site_label
_atom_site_fract_x
_atom_site_fract_y
_atom_site_fract_z
Rb1 0.000 0.000 0.000
Pd1 0.000 0.500 0.500
I1 0.500 0.500 0.000
Cl1 0.000 0.000 0.500
```

***

VASP calculation (PBE) on a relaxed PdSICl2 crystal.

## Properties
The raw formation energy comes out at 746 meV/atom. The excess energy over the best structure of this formula in the dataset is 0.5752 eV/atom.

Cell and atoms, written as CIF:
```
data_PdSICl2
_symmetry_space_group_name_H-M 'P 4/m m m'
_symmetry_Int_Tables_number 123
_symmetry_space_group_name_Hall '-P 4 2'
_cell_length_a 5.435
_cell_length_b 5.435
_cell_length_c 5.132
_cell_angle_alpha 90.00
_cell_angle_beta 90.00
_cell_angle_gamma 90.00
loop_
_atom_site_label
_atom_site_fract_x
_atom_site_fract_y
_atom_site_fract_z
Pd1 0.000 0.000 0.000
S1 0.500 0.500 0.000
I1 0.500 0.500 0.500
Cl1 0.000 0.500 0.500
```

***

VASP calculation (PBE) on a relaxed PdSICl2 crystal.

## Properties
The raw formation energy comes out at 171 meV/atom. The excess energy over the best structure of this formula in the dataset is 0.0000 eV/atom.

Cell and atoms, written as CIF:
```
data_PdSICl2
_symmetry_space_group_name_H-M 'P 4/m m m'
_symmetry_Int_Tables_number 123
_symmetry_space_group_name_Hall '-P 4 2'
_cell_length_a 4.825
_cell_length_b 4.825
_cell_length_c 4.922
_cell_angle_alpha 90.00
_cell_angle_beta 90.00
_cell_angle_gamma 90.00
loop_
_atom_site_label
_atom_site_fract_x
_atom_site_fract_y
_atom_site_fract_z
Pd1 0.000 0.000 0.000
S1 0.000 0.000 0.500
I1 0.500 0.500 0.500
Cl1 0.000 0.500 0.000
```

***

VASP calculation (PBE) on a relaxed Sb2PdICl crystal.

## Properties
The raw formation energy comes out at 198 meV/atom. The excess energy over the best structure of this formula in the dataset is 0.0000 eV/atom.

Cell and atoms, written as CIF:
```
data_Sb2PdICl
_symmetry_space_group_name_H-M 'P 4/m m m'
_symmetry_Int_Tables_number 123
_symmetry_space_group_name_Hall '-P 4 2'
_cell_length_a 5.245
_cell_length_b 5.245
_cell_length_c 5.525
_cell_angle_alpha 90.00
_cell_angle_beta 90.00
_cell_angle_gamma 90.00
loop_
_atom_site_label
_atom_site_fract_x
_atom_site_fract_y
_atom_site_fract_z
Sb1 0.000 0.500 0.000
Pd1 0.000 0.000 0.000
I1 0.000 0.000 0.500
Cl1 0.500 0.500 0.500
```

***

VASP calculation (PBE) on a relaxed Sb2PdICl crystal.

## Properties
The raw formation energy comes out at 949 meV/atom. The excess energy over the best structure of this formula in the dataset is 0.7510 eV/atom.

Cell and atoms, written as CIF:
```
data_Sb2PdICl
_symmetry_space_group_name_H-M 'P 4/m m m'
_symmetry_Int_Tables_number 123
_symmetry_space_group_name_Hall '-P 4 2'
_cell_length_a 5.126
_cell_length_b 5.126
_cell_length_c 6.392
_cell_angle_alpha 90.00
_cell_angle_beta 90.00
_cell_angle_gamma 90.00
loop_
_atom_site_label
_atom_site_fract_x
_atom_site_fract_y
_atom_site_fract_z
Sb1 0.000 0.500 0.000
Pd1 0.000 0.000 0.500
I1 0.500 0.500 0.500
Cl1 0.500 0.500 0.000
```

***

VASP calculation (PBE) on a relaxed SrPdICl2 crystal.

## Properties
The raw formation energy comes out at -631 meV/atom.

Cell and atoms, written as CIF:
```
data_SrPdICl2
_symmetry_space_group_name_H-M 'P 4/m m m'
_symmetry_Int_Tables_number 123
_symmetry_space_group_name_Hall '-P 4 2'
_cell_length_a 5.338
_cell_length_b 5.338
_cell_length_c 9.636
_cell_angle_alpha 90.00
_cell_angle_beta 90.00
_cell_angle_gamma 90.00
loop_
_atom_site_label
_atom_site_fract_x
_atom_site_fract_y
_atom_site_fract_z
Sr1 0.000 0.000 0.000
Pd1 0.000 0.000 0.500
I1 0.500 0.500 0.500
Cl1 0.000 0.500 0.000
```

***

VASP calculation (PBE) on a relaxed Te2PdICl crystal.

## Properties
The raw formation energy comes out at 263 meV/atom. The excess energy over the best structure of this formula in the dataset is 0.0000 eV/atom.

Cell and atoms, written as CIF:
```
data_Te2PdICl
_symmetry_space_group_name_H-M 'P 4/m m m'
_symmetry_Int_Tables_number 123
_symmetry_space_group_name_Hall '-P 4 2'
_cell_length_a 5.302
_cell_length_b 5.302
_cell_length_c 5.451
_cell_angle_alpha 90.00
_cell_angle_beta 90.00
_cell_angle_gamma 90.00
loop_
_atom_site_label
_atom_site_fract_x
_atom_site_fract_y
_atom_site_fract_z
Te1 0.000 0.500 0.000
Pd1 0.000 0.000 0.000
I1 0.000 0.000 0.500
Cl1 0.500 0.500 0.500
```

***

VASP calculation (PBE) on a relaxed TePdI2Cl crystal.

## Properties
The raw formation energy comes out at 220 meV/atom. The excess energy over the best structure of this formula in the dataset is 0.0000 eV/atom.

Cell and atoms, written as CIF:
```
data_TePdI2Cl
_symmetry_space_group_name_H-M 'P 4/m m m'
_symmetry_Int_Tables_number 123
_symmetry_space_group_name_Hall '-P 4 2'
_cell_length_a 5.476
_cell_length_b 5.476
_cell_length_c 5.255
_cell_angle_alpha 90.00
_cell_angle_beta 90.00
_cell_angle_gamma 90.00
loop_
_atom_site_label
_atom_site_fract_x
_atom_site_fract_y
_atom_site_fract_z
Te1 0.000 0.000 0.000
Pd1 0.000 0.000 0.500
I1 0.000 0.500 0.500
Cl1 0.500 0.500 0.000
```

***

VASP calculation (PBE) on a relaxed Te2PdICl crystal.

## Properties
The raw formation energy comes out at 983 meV/atom. The excess energy over the best structure of this formula in the dataset is 0.7192 eV/atom.

Cell and atoms, written as CIF:
```
data_Te2PdICl
_symmetry_space_group_name_H-M 'P 4/m m m'
_symmetry_Int_Tables_number 123
_symmetry_space_group_name_Hall '-P 4 2'
_cell_length_a 5.443
_cell_length_b 5.443
_cell_length_c 5.520
_cell_angle_alpha 90.00
_cell_angle_beta 90.00
_cell_angle_gamma 90.00
loop_
_atom_site_label
_atom_site_fract_x
_atom_site_fract_y
_atom_site_fract_z
Te1 0.000 0.500 0.000
Pd1 0.000 0.000 0.500
I1 0.500 0.500 0.500
Cl1 0.500 0.500 0.000
```

***

VASP calculation (PBE) on a relaxed TePdI2Cl crystal.

## Properties
The raw formation energy comes out at 890 meV/atom. The excess energy over the best structure of this formula in the dataset is 0.6696 eV/atom.

Cell and atoms, written as CIF:
```
data_TePdI2Cl
_symmetry_space_group_name_H-M 'P 4/m m m'
_symmetry_Int_Tables_number 123
_symmetry_space_group_name_Hall '-P 4 2'
_cell_length_a 5.630
_cell_length_b 5.630
_cell_length_c 5.414
_cell_angle_alpha 90.00
_cell_angle_beta 90.00
_cell_angle_gamma 90.00
loop_
_atom_site_label
_atom_site_fract_x
_atom_site_fract_y
_atom_site_fract_z
Te1 0.000 0.000 0.000
Pd1 0.500 0.500 0.000
I1 0.000 0.500 0.500
Cl1 0.000 0.000 0.500
```

***

VASP calculation (PBE) on a relaxed TiPdI2Cl crystal.

## Properties
The raw formation energy comes out at 697 meV/atom.

Cell and atoms, written as CIF:
```
data_TiPdI2Cl
_symmetry_space_group_name_H-M 'P 4/m m m'
_symmetry_Int_Tables_number 123
_symmetry_space_group_name_Hall '-P 4 2'
_cell_length_a 6.091
_cell_length_b 6.091
_cell_length_c 4.440
_cell_angle_alpha 90.00
_cell_angle_beta 90.00
_cell_angle_gamma 90.00
loop_
_atom_site_label
_atom_site_fract_x
_atom_site_fract_y
_atom_site_fract_z
Ti1 0.000 0.000 0.000
Pd1 0.500 0.500 0.000
I1 0.000 0.500 0.500
Cl1 0.500 0.500 0.500
```

***

VASP calculation (PBE) on a relaxed Tl2PdI2Cl4 crystal.

## Properties
The raw formation energy comes out at -578 meV/atom.

Cell and atoms, written as CIF:
```
data_Tl2PdI2Cl4
_symmetry_space_group_name_H-M 'I 4/m m m'
_symmetry_Int_Tables_number 139
_symmetry_space_group_name_Hall '-I 4 2'
_cell_length_a 7.419
_cell_length_b 7.419
_cell_length_c 10.306
_cell_angle_alpha 90.00
_cell_angle_beta 90.00
_cell_angle_gamma 90.00
loop_
_atom_site_label
_atom_site_fract_x
_atom_site_fract_y
_atom_site_fract_z
Tl1 0.000 0.500 0.250
Pd1 0.000 0.000 0.000
I1 0.000 0.000 0.262
Cl1 0.224 0.224 0.000
```

***

VASP calculation (PBE) on a relaxed ZrPd2ICl crystal.

## Properties
The raw formation energy comes out at 476 meV/atom.

Cell and atoms, written as CIF:
```
data_ZrPd2ICl
_symmetry_space_group_name_H-M 'P 4/m m m'
_symmetry_Int_Tables_number 123
_symmetry_space_group_name_Hall '-P 4 2'
_cell_length_a 4.462
_cell_length_b 4.462
_cell_length_c 6.358
_cell_angle_alpha 90.00
_cell_angle_beta 90.00
_cell_angle_gamma 90.00
loop_
_atom_site_label
_atom_site_fract_x
_atom_site_fract_y
_atom_site_fract_z
Zr1 0.000 0.000 0.000
Pd1 0.000 0.500 0.500
I1 0.500 0.500 0.000
Cl1 0.500 0.500 0.500
```

***

VASP calculation (PBE) on a relaxed ZrPdI2Cl crystal.

## Properties
The raw formation energy comes out at 149 meV/atom.

Cell and atoms, written as CIF:
```
data_ZrPdI2Cl
_symmetry_space_group_name_H-M 'P 4/m m m'
_symmetry_Int_Tables_number 123
_symmetry_space_group_name_Hall '-P 4 2'
_cell_length_a 5.364
_cell_length_b 5.364
_cell_length_c 5.347
_cell_angle_alpha 90.00
_cell_angle_beta 90.00
_cell_angle_gamma 90.00
loop_
_atom_site_label
_atom_site_fract_x
_atom_site_fract_y
_atom_site_fract_z
Zr1 0.000 0.000 0.000
Pd1 0.000 0.000 0.500
I1 0.000 0.500 0.500
Cl1 0.500 0.500 0.000
```

***

VASP calculation (PBE) on a relaxed PmI2Cl crystal.

## Properties
The raw formation energy comes out at -1641 meV/atom. The excess energy over the best structure of this formula in the dataset is 0.0118 eV/atom.

Cell and atoms, written as CIF:
```
data_PmI2Cl
_symmetry_space_group_name_H-M 'C 1 m 1'
_symmetry_Int_Tables_number 8
_cell_length_a 10.160
_cell_length_b 4.070
_cell_length_c 8.819
_cell_angle_alpha 90.00
_cell_angle_beta 109.48
_cell_angle_gamma 90.00
loop_
_symmetry_equiv_pos_as_xyz
'x,y,z'
'x,-y,z'
'x+1/2,y+1/2,z'
'x+1/2,-y+1/2,z'
loop_
_atom_site_label
_atom_site_fract_x
_atom_site_fract_y
_atom_site_fract_z
Pm1 0.000 0.000 0.000
I1 0.341 0.000 0.731
I2 0.497 0.000 0.269
Cl1 0.197 0.500 0.000
```

***

VASP calculation (PBE) on a relaxed PmICl crystal.

## Properties
The raw formation energy comes out at -1601 meV/atom. The excess energy over the best structure of this formula in the dataset is 0.0176 eV/atom.

Cell and atoms, written as CIF:
```
data_PmICl
_symmetry_space_group_name_H-M 'P 3 m 1'
_symmetry_Int_Tables_number 156
_cell_length_a 4.0478
_cell_length_b 4.0478
_cell_length_c 7.6947
_cell_angle_alpha 90.00
_cell_angle_beta 90.00
_cell_angle_gamma 120.00
loop_
_symmetry_equiv_pos_as_xyz
'x,y,z'
'-y,x-y,z'
'-x+y,-x,z'
'-y,-x,z'
'-x+y,y,z'
'x,x-y,z'
loop_
_atom_site_label
_atom_site_fract_x
_atom_site_fract_y
_atom_site_fract_z
Pm1 0.0000 0.0000 0.0000
I1 0.3333 0.6667 0.7286
Cl1 0.6667 0.3333 0.2148
```